First-principles (GGA-PBE) data for crystalline Dy3MnAg3S8 at its relaxed geometry, as listed in Alexandria via LeMat-Bulk.

abc: 13.468 7.790 7.812
angles: 90.00 125.36 90.00
Space group C2/m (No. 12)
Inequivalent atoms, fractional coordinates:
Dy: 0.000 0.000 0.000
Dy: 0.250 0.250 0.500
Mn: 0.000 0.500 0.000
Ag: 0.000 0.500 0.500
Ag: 0.250 0.250 0.000
S: 0.000 0.279 0.219
S: 0.220 0.500 0.223
S: 0.246 0.000 0.256

## Properties
- M_tot: 3.0 μB per formula unit
- Uncorrected formation energy: -1.076 eV/atom
- VASP energy: -161.4 eV/cell